1.
First-principles (PBE) data for a relaxed structure of TmCoPb, as listed in the Alexandria database.

Cell: 4.5556 4.5556 4.5556 Å, 60.00 60.00 60.00°
Last column: magnetic moment on the atom in μB.
Fractional positions:
Pb1 0.0000 0.0000 0.0000  0.05
Tm1 0.5000 0.5000 0.5000  0.09
Co1 0.2500 0.2500 0.2500  0.60

The calculated total energy comes out at -15.690 eV for the cell shown. The symmetry is F-43m.

---

2.
First-principles (PBE) data for a relaxed structure of Cs3RuBr7, as listed in the Alexandria database.

Cell: 7.6101 10.6922 10.6922 Å, 90.00 90.00 90.00°
Last column: magnetic moment on the atom in μB.
Fractional positions:
Br1 0.7665 0.8831 0.6169  0.05
Br2 0.7665 0.1169 0.3831  0.05
Br3 0.2335 0.8831 0.6169  0.05
Br4 0.0000 0.3336 0.1664  0.05
Br5 0.7665 0.6169 0.1169  0.05
Br6 0.5000 0.0000 0.0000  0.02
Br7 0.5000 0.5000 0.5000  0.02
Br8 0.2335 0.1169 0.3831  0.05
Br9 0.7665 0.3831 0.8831  0.05
Br10 0.0000 0.6664 0.8336  0.05
Br11 0.2335 0.3831 0.8831  0.05
Br12 0.0000 0.1664 0.6664  0.05
Br13 0.2335 0.6169 0.1169  0.05
Br14 0.0000 0.8336 0.3336  0.05
Ru1 0.0000 0.0000 0.5000  1.40
Ru2 0.0000 0.5000 0.0000  1.40
Cs1 0.5000 0.1762 0.6762  0.00
Cs2 0.5000 0.8238 0.3238  0.00
Cs3 0.0000 0.5000 0.5000  0.00
Cs4 0.5000 0.6762 0.8238  0.00
Cs5 0.5000 0.3238 0.1762  0.00
Cs6 0.0000 0.0000 0.0000  0.00

The calculated total energy comes out at -71.379 eV for the cell shown. The value obtained for the formation energy from raw total energies is -1.1039 eV per atom. The symmetry is P4/mbm.

---

3.
First-principles (PBE) data for a relaxed structure of RbYMnS4, as listed in the Alexandria database.

Cell: 6.6090 6.3816 9.0606 Å, 90.00 107.54 90.00°
Last column: magnetic moment on the atom in μB.
Fractional positions:
S1 0.5784 0.2500 0.4331  0.00
S2 0.9907 0.0028 0.2990  -0.02
S3 0.0093 0.9972 0.7010  -0.02
S4 0.9907 0.4972 0.2990  -0.02
S5 0.5683 0.2500 0.8159  0.02
S6 0.4216 0.7500 0.5669  0.00
S7 0.4317 0.7500 0.1841  0.02
S8 0.0093 0.5028 0.7010  -0.02
Y1 0.2354 0.2500 0.5508  0.06
Y2 0.7646 0.7500 0.4492  0.06
Rb1 0.7331 0.7500 0.9388  0.00
Rb2 0.2669 0.2500 0.0612  0.00
Mn1 0.7776 0.2500 0.6704  2.63
Mn2 0.2224 0.7500 0.3296  2.63

The calculated total energy comes out at -83.059 eV for the cell shown. The value obtained for the formation energy from raw total energies is -1.2026 eV per atom. The symmetry is P2_1/m.

---

Question: What is the formula in the third record?
Answer: RbYMnS4